Density functional theory data (PBE) for Nd3Sm2Dy7 after structural relaxation.

The structure in POSCAR format:
```
Nd3Sm2Dy7
1.0
5.864 0.000 0.000
0.000 3.591 0.000
-1.035 0.000 18.873
Nd Sm Dy
3 2 7
Cartesian
0.000 0.000 0.000
0.975 1.795 11.937
3.854 1.795 6.935
0.930 0.000 5.524
3.898 0.000 13.349
0.964 1.795 2.699
0.944 0.000 8.724
0.953 0.000 15.596
2.932 1.795 0.000
3.876 0.000 3.277
3.884 0.000 10.149
3.865 1.795 16.174
```

Energy of formation from the pure elements   0.084 eV per atom
Crystal system   monoclinic
Symmetry   No. 10
Total DFT energy (no corrections)   -54.95 eV per cell